[1]
{
  "formula": "NbSiSn3",
  "functional": "GGA-PBE",
  "state": "optimized geometry",
  "lattice": [[5.1275, 0.0000, 0.0000], [0.0000, 5.1275, 0.0000], [0.0000, 0.0000, 5.1275]],
  "species": ["Nb", "Si", "Sn", "Sn", "Sn"],
  "frac_coords": [[0.0000, 0.0000, 0.0000], [0.5000, 0.5000, 0.5000], [0.0000, 0.5000, 0.5000], [0.5000, 0.0000, 0.5000], [0.5000, 0.5000, 0.0000]],
  "rho_g_cm3": 5.877,
  "e_form_raw_ev_per_atom": 1.015,
  "sg": "Pm-3m",
  "e_above_lowest_polymorph_kj_per_mol_atoms": 20.04,
  "final_energy_ev_per_atom": -4.486
}

---

[2]
{
  "formula": "NbSiSn",
  "functional": "GGA-PBE",
  "state": "optimized geometry",
  "lattice": [[3.6157, 0.0000, 0.0000], [0.0000, 3.6157, 0.0000], [0.0000, 0.0000, 8.5600]],
  "species": ["Nb", "Nb", "Si", "Si", "Sn", "Sn"],
  "frac_coords": [[0.2500, 0.2500, 0.2291], [0.7500, 0.7500, 0.7709], [0.2500, 0.7500, 0.0000], [0.7500, 0.2500, 0.0000], [0.2500, 0.2500, 0.6054], [0.7500, 0.7500, 0.3946]],
  "rho_g_cm3": 7.113,
  "e_form_raw_ev_per_atom": -0.295,
  "sg": "P4/nmm",
  "final_energy_ev_per_atom": -6.793
}

---

[3]
{
  "formula": "Nb3SiSn",
  "functional": "GGA-PBE",
  "state": "optimized geometry",
  "lattice": [[5.0136, 0.0000, 0.0000], [0.0000, 5.0136, 0.0000], [0.0000, 0.0000, 5.0136]],
  "species": ["Nb", "Nb", "Nb", "Si", "Sn"],
  "frac_coords": [[0.0000, 0.0000, 0.5000], [0.0000, 0.5000, 0.0000], [0.5000, 0.0000, 0.0000], [0.5000, 0.5000, 0.5000], [0.0000, 0.0000, 0.0000]],
  "rho_g_cm3": 5.607,
  "e_form_raw_ev_per_atom": 1.827,
  "sg": "Pm-3m",
  "e_above_lowest_polymorph_kj_per_mol_atoms": 173.01,
  "final_energy_ev_per_atom": -6.100
}

---

[4]
{
  "formula": "NbSiSn3",
  "functional": "GGA-PBE",
  "state": "optimized geometry",
  "lattice": [[5.3696, 0.0000, 0.0000], [0.0000, 5.3696, 0.0000], [0.0000, 0.0000, 5.3696]],
  "species": ["Nb", "Si", "Sn", "Sn", "Sn"],
  "frac_coords": [[0.0000, 0.0000, 0.0000], [0.5000, 0.5000, 0.5000], [0.0000, 0.0000, 0.5000], [0.0000, 0.5000, 0.0000], [0.5000, 0.0000, 0.0000]],
  "rho_g_cm3": 5.117,
  "e_form_raw_ev_per_atom": 0.807,
  "sg": "Pm-3m",
  "e_above_lowest_polymorph_kj_per_mol_atoms": 0.00,
  "final_energy_ev_per_atom": -4.693
}